1.
A geometry-optimized LiZr2Ni structure, computed with PBE.

a = 4.614 Å, b = 4.614 Å, c = 4.614 Å
α = 60.00°, β = 60.00°, γ = 60.00°
Each line ends with the local moment (μB).
Fractional coordinates of all 4 atoms:
Zr 0.750 0.750 0.750  0.59
Li 0.500 0.500 0.500  0.00
Ni 0.250 0.250 0.250  0.08
Zr 0.000 0.000 0.000  0.29

Computed properties:
The total magnetization comes out at 0.29 μB per atom. For the calculated volume, the calculation gives 69.46 Å³/f.u. For the formation enthalpy at 0 K, the calculation gives 0.2596 eV/atom. The density of states at the Fermi level comes out at 4.59 states/eV/f.u. The value obtained for the total energy is -23.75 eV per formula unit.

=====

2.
A geometry-optimized Ac3MgZn2Pd9 structure, computed with PBE.

a = 7.342 Å, b = 7.342 Å, c = 7.055 Å
α = 90.00°, β = 90.00°, γ = 120.00°
Fractional coordinates of all 15 atoms:
Ac 0.667 0.333 0.332
Pd 0.831 0.169 0.666
Pd 0.169 0.831 0.334
Ac 0.000 0.000 0.000
Zn 0.667 0.333 0.838
Pd 0.831 0.662 0.666
Pd 0.662 0.831 0.334
Ac 0.333 0.667 0.668
Mg 0.000 0.000 0.500
Pd 0.500 0.000 0.000
Pd 0.169 0.338 0.334
Zn 0.333 0.667 0.162
Pd 0.000 0.500 0.000
Pd 0.500 0.500 0.000
Pd 0.338 0.169 0.666

Computed properties:
The total magnetization comes out at 0.00 μB per atom. For the calculated volume, the calculation gives 329.31 Å³/f.u. For the formation enthalpy at 0 K, the calculation gives -0.4720 eV/atom. The density of states at the Fermi level comes out at 5.15 states/eV/f.u. The value obtained for the total energy is -70.28 eV per formula unit.

=====

3.
A geometry-optimized Pr2DyHg structure, computed with PBE.

a = 5.562 Å, b = 5.562 Å, c = 5.562 Å
α = 60.00°, β = 60.00°, γ = 60.00°
Fractional coordinates of all 4 atoms:
Pr 0.750 0.750 0.750
Dy 0.000 0.000 0.000
Hg 0.500 0.500 0.500
Pr 0.250 0.250 0.250

Computed properties:
The total magnetization comes out at 0.00 μB per atom. For the calculated volume, the calculation gives 121.70 Å³/f.u. For the formation enthalpy at 0 K, the calculation gives -0.0763 eV/atom. The density of states at the Fermi level comes out at 6.04 states/eV/f.u. The value obtained for the total energy is -14.77 eV per formula unit. Its polymorph energy (0 for the lowest one) is 60 kJ/mol of formula units.

=====

4.
A geometry-optimized La4Pm2Y5 structure, computed with PBE.

a = 3.563 Å, b = 8.790 Å, c = 14.737 Å
α = 122.48°, β = 96.94°, γ = 90.00°
Fractional coordinates of all 11 atoms:
Y 0.812 0.094 0.625
La 0.590 0.482 0.179
La 0.960 0.262 0.919
Pm 0.726 0.625 0.452
La 0.040 0.738 0.081
Y 0.868 0.788 0.736
Y 0.132 0.212 0.264
Y 0.188 0.906 0.375
Pm 0.274 0.375 0.548
La 0.410 0.518 0.821
Y 0.500 0.000 0.000

Computed properties:
The total magnetization comes out at 0.00 μB per atom. For the calculated volume, the calculation gives 385.32 Å³/f.u. For the formation enthalpy at 0 K, the calculation gives 0.1149 eV/atom. The density of states at the Fermi level comes out at 18.59 states/eV/f.u. The value obtained for the total energy is -60.27 eV per formula unit. Its polymorph energy (0 for the lowest one) is 35 kJ/mol of formula units.

=====

5.
A geometry-optimized La2MgAl structure, computed with PBE.

a = 6.382 Å, b = 6.382 Å, c = 6.382 Å
α = 144.72°, β = 129.99°, γ = 62.68°
Fractional coordinates of all 4 atoms:
La 0.018 0.018 0.000
La 0.741 0.241 0.500
Mg 0.465 0.465 0.000
Al 0.276 0.776 0.500

Computed properties:
The total magnetization comes out at 0.00 μB per atom. For the calculated volume, the calculation gives 113.78 Å³/f.u. For the formation enthalpy at 0 K, the calculation gives -0.2030 eV/atom. The density of states at the Fermi level comes out at 4.47 states/eV/f.u. The value obtained for the total energy is -16.00 eV per formula unit.

=====

6.
A geometry-optimized LaFe3N structure, computed with PBE.

a = 4.526 Å, b = 4.526 Å, c = 4.526 Å
α = 90.00°, β = 90.00°, γ = 90.00°
Each line ends with the local moment (μB).
Fractional coordinates of all 5 atoms:
La 0.000 0.000 0.000  0.42
N 0.500 0.500 0.500  -0.73
Fe 0.000 0.000 0.500  -1.89
Fe 0.000 0.500 0.000  -2.07
Fe 0.500 0.000 0.000  -1.92

Computed properties:
The total magnetization comes out at 1.26 μB per atom. For the calculated volume, the calculation gives 92.73 Å³/f.u. The uncorrected formation energy is 2.6634 eV/atom. The density of states at the Fermi level comes out at 3.28 states/eV/f.u. The value obtained for the total energy is -25.32 eV per formula unit. Its polymorph energy (0 for the lowest one) is 1209 kJ/mol of formula units.

=====

7.
A geometry-optimized BeCd2Ru structure, computed with PBE.

a = 2.849 Å, b = 2.849 Å, c = 8.942 Å
α = 90.00°, β = 90.00°, γ = 116.12°
Each line ends with the local moment (μB).
Fractional coordinates of all 4 atoms:
Ru 0.500 0.500 0.250  0.87
Cd 0.000 0.000 0.514  -0.01
Cd 0.000 0.000 0.986  -0.01
Be 0.500 0.500 0.750  0.00

Computed properties:
The total magnetization comes out at 0.22 μB per atom. For the calculated volume, the calculation gives 65.15 Å³/f.u. For the formation enthalpy at 0 K, the calculation gives 0.5340 eV/atom. The density of states at the Fermi level comes out at 2.30 states/eV/f.u. The value obtained for the total energy is -12.70 eV per formula unit.

=====

8.
A geometry-optimized PuUFeRu structure, computed with PBE.

a = 4.725 Å, b = 4.725 Å, c = 4.725 Å
α = 60.00°, β = 60.00°, γ = 60.00°
Each line ends with the local moment (μB).
Fractional coordinates of all 4 atoms:
Pu 0.500 0.500 0.500  5.07
U 0.000 0.000 0.000  2.15
Ru 0.750 0.750 0.750  -0.58
Fe 0.250 0.250 0.250  -1.84

Computed properties:
The total magnetization comes out at 1.33 μB per atom. For the calculated volume, the calculation gives 74.62 Å³/f.u. For the formation enthalpy at 0 K, the calculation gives 0.0026 eV/atom. The density of states at the Fermi level comes out at 6.84 states/eV/f.u. The value obtained for the total energy is -43.35 eV per formula unit. Its polymorph energy (0 for the lowest one) is 76 kJ/mol of formula units.

=====

9.
A geometry-optimized KMo2Br structure, computed with PBE.

a = 3.401 Å, b = 3.401 Å, c = 9.662 Å
α = 80.54°, β = 80.54°, γ = 60.08°
Fractional coordinates of all 4 atoms:
K 0.248 0.248 0.268
Mo 0.020 0.020 0.931
Mo 0.734 0.734 0.769
Br 0.498 0.498 0.532

Computed properties:
The total magnetization comes out at 0.00 μB per atom. For the calculated volume, the calculation gives 95.10 Å³/f.u. The uncorrected formation energy is 0.3147 eV/atom. The density of states at the Fermi level comes out at 2.46 states/eV/f.u. The value obtained for the total energy is -23.17 eV per formula unit. Its polymorph energy (0 for the lowest one) is 25 kJ/mol of formula units.

=====

10.
A geometry-optimized Ca3AgPb3 structure, computed with PBE.

a = 4.814 Å, b = 6.288 Å, c = 15.212 Å
α = 83.70°, β = 80.90°, γ = 67.49°
Fractional coordinates of all 14 atoms:
Pb 0.140 0.263 0.458
Ca 0.269 0.232 0.230
Ca 0.535 0.314 0.616
Ca 0.465 0.686 0.384
Pb 0.877 0.170 0.075
Ag 0.239 0.901 0.620
Pb 0.860 0.737 0.542
Pb 0.123 0.830 0.925
Ca 0.405 0.269 0.921
Ca 0.731 0.768 0.770
Ca 0.595 0.731 0.079
Ag 0.761 0.099 0.380
Pb 0.985 0.798 0.233
Pb 0.015 0.202 0.767

Computed properties:
The total magnetization comes out at 0.00 μB per atom. For the calculated volume, the calculation gives 209.73 Å³/f.u. For the formation enthalpy at 0 K, the calculation gives -0.4476 eV/atom. The density of states at the Fermi level comes out at 2.31 states/eV/f.u. The value obtained for the total energy is -23.11 eV per formula unit.

=====

11.
A geometry-optimized Ac3PrIr3 structure, computed with PBE.

a = 10.477 Å, b = 10.477 Å, c = 10.477 Å
α = 109.47°, β = 109.47°, γ = 109.47°
Fractional coordinates of all 28 atoms:
Ac 0.241 0.759 0.250
Ac 0.750 0.009 0.491
Ac 0.991 0.250 0.009
Ac 0.259 0.250 0.741
Ir 0.747 0.997 0.994
Ir 0.003 0.750 0.997
Ir 0.753 0.506 0.503
Ac 0.509 0.491 0.250
Ir 0.753 0.247 0.750
Ir 0.250 0.997 0.503
Pr 0.000 0.000 0.250
Pr 0.500 0.250 0.500
Ac 0.982 0.491 0.741
Ac 0.241 0.482 0.491
Ir 0.006 0.503 0.253
Ac 0.991 0.741 0.482
Ir 0.747 0.750 0.253
Pr 0.750 0.250 0.250
Ir 0.497 0.503 0.750
Pr 0.750 0.500 0.000
Ir 0.497 0.994 0.247
Ir 0.494 0.247 0.997
Ac 0.509 0.018 0.759
Ir 0.250 0.253 0.247
Ir 0.003 0.253 0.506
Ac 0.259 0.009 0.018
Ac 0.518 0.759 0.009
Ac 0.750 0.741 0.759

Computed properties:
The total magnetization comes out at 0.00 μB per atom. For the calculated volume, the calculation gives 221.31 Å³/f.u. For the formation enthalpy at 0 K, the calculation gives -0.5398 eV/atom. The density of states at the Fermi level comes out at 3.34 states/eV/f.u. The value obtained for the total energy is -47.47 eV per formula unit. Its polymorph energy (0 for the lowest one) is 0 kJ/mol of formula units.

=====

calculated volume of number 11 (Ac3PrIr3)?
221.31 Å³/f.u.

=====

What did the sixth record say?
A geometry-optimized LaFe3N structure, computed with PBE.

a = 4.526 Å, b = 4.526 Å, c = 4.526 Å
α = 90.00°, β = 90.00°, γ = 90.00°
Each line ends with the local moment (μB).
Fractional coordinates of all 5 atoms:
La 0.000 0.000 0.000  0.42
N 0.500 0.500 0.500  -0.73
Fe 0.000 0.000 0.500  -1.89
Fe 0.000 0.500 0.000  -2.07
Fe 0.500 0.000 0.000  -1.92

Computed properties:
The total magnetization comes out at 1.26 μB per atom. For the calculated volume, the calculation gives 92.73 Å³/f.u. The uncorrected formation energy is 2.6634 eV/atom. The density of states at the Fermi level comes out at 3.28 states/eV/f.u. The value obtained for the total energy is -25.32 eV per formula unit. Its polymorph energy (0 for the lowest one) is 1209 kJ/mol of formula units.

=====

Repeat the eighth record exactly.
A geometry-optimized PuUFeRu structure, computed with PBE.

a = 4.725 Å, b = 4.725 Å, c = 4.725 Å
α = 60.00°, β = 60.00°, γ = 60.00°
Each line ends with the local moment (μB).
Fractional coordinates of all 4 atoms:
Pu 0.500 0.500 0.500  5.07
U 0.000 0.000 0.000  2.15
Ru 0.750 0.750 0.750  -0.58
Fe 0.250 0.250 0.250  -1.84

Computed properties:
The total magnetization comes out at 1.33 μB per atom. For the calculated volume, the calculation gives 74.62 Å³/f.u. For the formation enthalpy at 0 K, the calculation gives 0.0026 eV/atom. The density of states at the Fermi level comes out at 6.84 states/eV/f.u. The value obtained for the total energy is -43.35 eV per formula unit. Its polymorph energy (0 for the lowest one) is 76 kJ/mol of formula units.